Here is a relaxed CrB crystal from the Alexandria database. Energies are from GGA-PBE.

Properties
Fermi-level density of states in states/eV per cell: 3.82
Symmetry: Imm2
ΔH_f (0 K) in eV per atom: -0.184

Cell: 2.824 6.225 4.018 Å, 90.00 90.00 90.00°
Atoms (fractional coordinates):
B  0.000  0.000  0.287
B  0.000  0.500  0.526
Cr  0.500  0.300  0.282
Cr  0.000  0.200  0.782
Cr  0.500  0.700  0.282
B  0.500  0.500  0.787
B  0.500  0.000  0.026
Cr  0.000  0.800  0.782